Here is crystalline LiPaTcPb at its relaxed geometry from Alexandria. Energies are from GGA-PBE.

Calculated values
**E_tot**: -25.3 eV/cell
**Total magnetization**: 0.00 μB/cell
**Formation enthalpy at 0 K**: 0.0584 eV/atom

```
LiPaTcPb
1.0
0.000 3.402 3.402
3.402 0.000 3.402
3.402 3.402 0.000
Li Pa Tc Pb
1 1 1 1
Cartesian
0.000 0.000 0.000
1.701 1.701 1.701
3.402 3.402 3.402
5.103 5.103 5.103
```

=====

Here is crystalline CeLuBi2 at its relaxed geometry from Alexandria. Energies are from GGA-PBE.

Calculated values
**E_tot**: -21.3 eV/cell
**Total magnetization**: 0.88 μB/cell
**Formation enthalpy at 0 K**: -0.7592 eV/atom

```
CeLuBi2
1.0
2.258 1.304 7.338
-2.258 1.304 7.338
0.000 -2.607 7.338
Ce Lu Bi
1 1 2
Cartesian
0.000 0.000 0.000
0.000 0.000 11.007
0.000 0.000 5.414
0.000 0.000 16.600
```

=====

Here is crystalline Ti6Nb2Ga at its relaxed geometry from Alexandria. Energies are from GGA-PBE.

Calculated values
**E_tot**: -138.3 eV/cell
**Total magnetization**: 0.00 μB/cell
**Formation enthalpy at 0 K**: 0.1559 eV/atom

```
Ti6Nb2Ga
1.0
-4.069 4.382 4.536
4.069 -4.382 4.536
4.069 4.382 -4.536
Ti Nb Ga
12 4 2
Cartesian
4.069 -2.265 2.989
2.520 0.000 2.272
5.618 0.000 2.272
2.570 2.553 0.000
5.569 2.553 0.000
0.000 2.117 1.548
4.069 2.265 2.989
-1.499 1.829 4.536
1.499 1.829 4.536
-1.549 4.382 2.264
1.549 4.382 2.264
0.000 6.646 1.548
1.322 0.000 0.000
6.816 0.000 0.000
0.000 0.000 2.985
0.000 0.000 6.087
4.069 0.000 0.000
0.000 4.382 0.000
```

=====

Here is crystalline Li2TeIr at its relaxed geometry from Alexandria. Energies are from GGA-PBE.

Calculated values
**E_tot**: -16.6 eV/cell
**Formation energy (no corrections)**: -0.18 eV/atom
**Total magnetization**: 0.01 μB/cell

```
Li2TeIr
1.0
2.668 -4.149 0.000
2.668 4.149 0.000
0.000 0.000 3.010
Li Te Ir
2 1 1
Cartesian
1.334 2.074 0.000
1.334 -2.074 0.000
0.000 0.000 1.505
2.668 0.000 1.505
```

=====

Here is crystalline K2InSnSe4 at its relaxed geometry from Alexandria. Energies are from GGA-PBE.

Calculated values
**E_tot**: -57.3 eV/cell
**Formation energy (no corrections)**: -0.72 eV/atom
**Total magnetization**: 0.08 μB/cell

```
K2InSnSe4
1.0
0.000 7.419 11.313
3.424 0.000 11.313
3.424 7.419 0.000
K In Sn Se
4 2 2 8
Cartesian
2.568 5.564 1.342
4.281 9.274 6.998
2.568 5.564 15.627
4.281 9.274 21.284
0.856 1.855 2.828
5.993 12.983 19.797
2.568 5.564 8.485
4.281 9.274 14.141
2.460 3.412 4.190
4.389 7.122 9.847
2.677 7.716 4.190
2.677 3.412 12.779
4.172 11.426 9.847
4.172 7.122 18.435
2.460 7.716 12.779
4.389 11.426 18.435
```

=====

Here is crystalline LiY2NiRh at its relaxed geometry from Alexandria. Energies are from GGA-PBE.

Calculated values
**E_tot**: -27.7 eV/cell
**Total magnetization**: 0.00 μB/cell
**Formation enthalpy at 0 K**: 0.0472 eV/atom

```
LiY2NiRh
1.0
5.148 0.000 0.000
0.000 5.148 0.000
0.000 0.000 4.609
Li Y Ni Rh
1 2 1 1
Cartesian
0.000 0.000 0.000
0.000 2.574 2.305
2.574 0.000 2.305
2.574 2.574 2.305
2.574 2.574 0.000
```